Entry 1:
Here is CaScNi2 after structural relaxation from Alexandria via LeMat-Bulk. Energies are from PBE.

Calculated values
DFT formation energy	-25	meV per atom
excess energy over the best structure of this formula in the dataset	255	meV per atom

Cell lengths 3.283, 3.283, 7.274 Å; angles 90.00, 90.00, 90.00 degrees
Space group P4mm (No. 99)
Asymmetric unit:
1 Ca 0.000 0.000 0.000 [1 per cell]
2 Sc 0.500 0.500 0.585 [1 per cell]
3 Ni 0.000 0.000 0.402 [1 per cell]
4 Ni 0.500 0.500 0.253 [1 per cell]


Entry 2:
Here is AlCuBi2S5 after structural relaxation from Alexandria via LeMat-Bulk. Energies are from PBE.

Calculated values
formation energy without anion corrections	-404	kJ/mol of formula units

Cell lengths 3.819, 17.731, 11.958 Å; angles 90.00, 90.00, 90.00 degrees
Space group Cmc2_1 (No. 36)
Asymmetric unit:
1 Al 0.000 0.210 0.000 [4 per cell]
2 Cu 0.000 0.458 0.453 [4 per cell]
3 Bi 0.000 0.100 0.256 [4 per cell]
4 Bi 0.000 0.151 0.694 [4 per cell]
5 S 0.000 0.076 0.034 [4 per cell]
6 S 0.000 0.284 0.372 [4 per cell]
7 S 0.000 0.294 0.647 [4 per cell]
8 S 0.000 0.345 0.033 [4 per cell]
9 S 0.000 0.494 0.276 [4 per cell]


Entry 3:
Here is Pa2Zn6Ni3 after structural relaxation from Alexandria via LeMat-Bulk. Energies are from PBE.

Calculated values
DFT formation energy	-189	meV per atom

Cell lengths 7.8221, 7.8221, 3.3757 Å; angles 90.00, 90.00, 120.00 degrees
Space group P-62m (No. 189)
Asymmetric unit:
1 Pa 0.3333 0.6667 0.0000 [2 per cell]
2 Zn 0.0000 0.1872 0.0000 [3 per cell]
3 Zn 0.0000 0.7076 0.5000 [3 per cell]
4 Ni 0.0000 0.4024 0.5000 [3 per cell]


Entry 4:
Here is Na3Pa2CoN6 after structural relaxation from Alexandria via LeMat-Bulk. Energies are from PBE.

Calculated values
formation energy without anion corrections	-634	kJ/mol of formula units

Cell lengths 5.770, 10.040, 6.018 Å; angles 90.00, 107.83, 90.00 degrees
Space group C2/m (No. 12)
Asymmetric unit:
1 Na 0.000 0.000 0.000 [2 per cell]
2 Na 0.000 0.349 0.000 [4 per cell]
3 Pa 0.000 0.167 0.500 [4 per cell]
4 Co 0.000 0.500 0.500 [2 per cell]
5 N 0.217 0.345 0.689 [8 per cell]
6 N 0.246 0.000 0.688 [4 per cell]